First-principles (PBE-GGA) data for a relaxed InAsBr2 crystal, as listed in the Alexandria database.

abc: 7.261 7.261 7.261
angles: 146.71 146.71 47.80
Positions (direct):
Br 0.250 0.750 0.500
Br 0.000 0.000 0.000
In 0.500 0.500 0.000
As 0.750 0.250 0.500

Fermi-level density of states, states/eV per cell: 3.2
Space-group type: I-4m2
Offset from the most stable computed form, meV per atom: 401.0
Raw formation energy, eV per atom: 0.078
Mass density, Mg/m³: 5.053

=====

First-principles (PBE-GGA) data for a relaxed Sc4ZnCuRh2 crystal, as listed in the Alexandria database.

abc: 4.619 4.619 8.033
angles: 73.29 73.29 60.00
Positions (direct):
Cu 0.500 0.500 0.500
Rh 0.750 0.750 0.751
Rh 0.250 0.250 0.249
Sc 0.377 0.377 0.869
Sc 0.127 0.127 0.620
Sc 0.873 0.873 0.380
Sc 0.623 0.623 0.131
Zn 0.000 0.000 0.000

Fermi-level density of states, states/eV per cell: 5.8
Total DFT energy (no corrections), eV per atom: -6.331
Space-group type: R-3m
Mass density, Mg/m³: 6.103

=====

First-principles (PBE-GGA) data for a relaxed ZrSnMo2Pd crystal, as listed in the Alexandria database.

abc: 4.828 4.813 4.828
angles: 90.00 90.00 90.00
Each line ends with the local moment (μB).
Positions (direct):
Sn 0.000 0.500 0.000  -0.01
Zr 0.500 0.500 0.500  -0.10
Mo 0.500 0.000 0.000  0.45
Mo 0.000 0.000 0.500  0.32
Pd 0.000 0.000 0.000  0.01

Fermi-level density of states, states/eV per cell: 6.1
Total DFT energy (no corrections), eV per atom: -6.658
Space-group type: P4/mmm
Mass density, Mg/m³: 7.523

=====

First-principles (PBE-GGA) data for a relaxed Ga3FeB crystal, as listed in the Alexandria database.

abc: 4.558 4.558 4.558
angles: 90.00 90.00 90.00
Positions (direct):
Fe 0.000 0.000 0.000
B 0.500 0.500 0.500
Ga 0.000 0.500 0.000
Ga 0.000 0.000 0.500
Ga 0.500 0.000 0.000

Fermi-level density of states, states/eV per cell: 3.1
Total DFT energy (no corrections), eV per atom: -3.974
Space-group type: Pm-3m
Mass density, Mg/m³: 4.838

=====

First-principles (PBE-GGA) data for a relaxed Na3LiCd crystal, as listed in the Alexandria database.

abc: 5.592 5.592 5.592
angles: 90.00 90.00 90.00
Positions (direct):
Cd 0.500 0.500 0.500
Li 0.000 0.000 0.000
Na 0.000 0.500 0.000
Na 0.000 0.000 0.500
Na 0.500 0.000 0.000

Fermi-level density of states, states/eV per cell: 2.6
Space-group type: Pm-3m
Offset from the most stable computed form, meV per atom: 62.5
Mass density, Mg/m³: 1.788

=====

First-principles (PBE-GGA) data for a relaxed Hf2ZnAs crystal, as listed in the Alexandria database.

abc: 4.707 4.707 4.707
angles: 60.00 60.00 60.00
Positions (direct):
Zn 0.000 0.000 0.000
Hf 0.250 0.250 0.250
Hf 0.750 0.750 0.750
As 0.500 0.500 0.500

Fermi-level density of states, states/eV per cell: 3.6
Total DFT energy (no corrections), eV per atom: -6.744
Space-group type: Fm-3m
Mass density, Mg/m³: 11.197

=====

First-principles (PBE-GGA) data for a relaxed Mg2In3 crystal, as listed in the Alexandria database.

abc: 5.105 8.402 11.881
angles: 90.00 90.00 90.00
Positions (direct):
In 0.250 0.877 0.118
In 0.750 0.377 0.382
In 0.750 0.123 0.882
In 0.750 0.437 0.085
In 0.250 0.259 0.757
In 0.750 0.063 0.585
In 0.750 0.759 0.743
In 0.250 0.563 0.915
In 0.250 0.241 0.257
In 0.250 0.937 0.415
In 0.750 0.741 0.243
In 0.250 0.623 0.618
Mg 0.250 0.276 0.512
Mg 0.750 0.090 0.159
Mg 0.750 0.776 0.988
Mg 0.250 0.910 0.841
Mg 0.750 0.410 0.659
Mg 0.250 0.224 0.012
Mg 0.750 0.724 0.488
Mg 0.250 0.590 0.341

Fermi-level density of states, states/eV per cell: 8.0
Space-group type: Pnma
Offset from the most stable computed form, meV per atom: 64.9
Mass density, Mg/m³: 5.123

=====

First-principles (PBE-GGA) data for a relaxed AcSm2Ru crystal, as listed in the Alexandria database.

abc: 4.051 4.051 9.742
angles: 78.00 78.00 60.00
Positions (direct):
Ac 0.501 0.501 0.497
Sm 0.280 0.280 0.161
Sm 0.053 0.053 0.841
Ru 0.666 0.666 0.001

Fermi-level density of states, states/eV per cell: 3.2
Space-group type: R3m
Offset from the most stable computed form, meV per atom: 144.6
Mass density, Mg/m³: 7.768

=====

First-principles (PBE-GGA) data for a relaxed TbNd5Ho3 crystal, as listed in the Alexandria database.

abc: 6.770 12.178 11.653
angles: 136.02 90.00 106.14
Positions (direct):
Ho 0.000 0.000 0.000
Ho 0.356 0.522 0.395
Ho 0.835 0.478 0.105
Ho 0.165 0.522 0.895
Ho 0.644 0.478 0.605
Ho 0.000 0.000 0.500
Nd 0.311 0.000 0.750
Nd 0.256 0.342 0.999
Nd 0.914 0.658 0.501
Nd 0.614 0.222 0.170
Nd 0.086 0.342 0.499
Nd 0.744 0.658 0.001
Nd 0.689 0.000 0.250
Nd 0.386 0.778 0.830
Nd 0.392 0.778 0.330
Nd 0.608 0.222 0.670
Tb 0.241 0.000 0.250
Tb 0.759 0.000 0.750

Fermi-level density of states, states/eV per cell: 24.5
Space-group type: C2/c
Offset from the most stable computed form, meV per atom: 0.0
Mass density, Mg/m³: 7.468

=====

First-principles (PBE-GGA) data for a relaxed NpAlZn2 crystal, as listed in the Alexandria database.

abc: 2.737 3.967 6.692
angles: 90.00 90.00 90.00
Each line ends with the local moment (μB).
Positions (direct):
Zn 0.000 0.000 0.539  0.00
Zn 0.000 0.000 0.961  0.00
Al 0.500 0.500 0.750  -0.01
Np 0.500 0.500 0.250  4.16

Fermi-level density of states, states/eV per cell: 4.9
Space-group type: Pmmm
Offset from the most stable computed form, meV per atom: 0.0
Mass density, Mg/m³: 9.025

=====

First-principles (PBE-GGA) data for a relaxed KZnPb crystal, as listed in the Alexandria database.

abc: 5.175 5.175 5.175
angles: 60.00 60.00 60.00
Positions (direct):
Pb 0.500 0.500 0.500
K 0.000 0.000 0.000
Zn 0.750 0.750 0.750

Fermi-level density of states, states/eV per cell: 3.5
Space-group type: F-43m
Offset from the most stable computed form, meV per atom: 166.2
Mass density, Mg/m³: 5.282

=====

First-principles (PBE-GGA) data for a relaxed MnTe2Ru crystal, as listed in the Alexandria database.

abc: 3.899 3.900 6.548
angles: 89.84 90.00 90.00
Each line ends with the local moment (μB).
Positions (direct):
Te 0.500 0.376 0.356  -0.10
Te 0.000 0.873 0.894  -0.10
Mn 0.000 0.375 0.625  2.94
Ru 0.500 0.875 0.625  -0.18

Fermi-level density of states, states/eV per cell: 3.1
Space-group type: Pm
Offset from the most stable computed form, meV per atom: 0.0
Raw formation energy, eV per atom: -0.105
Mass density, Mg/m³: 6.859